(1)
# ScGaSb2 PBE-GGA optimized geometry
# Space-group type: No. 122
# Formation energy from raw total energies, eV per atom: -0.2401
data_ScGaSb2
_chemical_formula_sum 'Sc2 Ga2 Sb4'
_space_group_name_H-M_alt 'P 1'
_space_group_IT_number 1
_cell_length_a 7.6919
_cell_length_b 7.6919
_cell_length_c 7.6919
_cell_angle_alpha 129.35
_cell_angle_beta 129.35
_cell_angle_gamma 74.45
loop_
_space_group_symop_operation_xyz
'x,y,z'
loop_
_atom_site_label
_atom_site_fract_x
_atom_site_fract_y
_atom_site_fract_z
Sc1 0.0000 0.0000 0.0000
Sc2 0.7500 0.2500 0.5000
Ga1 0.2500 0.7500 0.5000
Ga2 0.5000 0.5000 0.0000
Sb1 0.1473 0.6250 0.0223
Sb2 0.3750 0.3973 0.5223
Sb3 0.6027 0.1250 0.9777
Sb4 0.8750 0.8527 0.4777


(2)
# CdIn3Ga3Sn2 PBE-GGA optimized geometry
# Space-group type: No. 189
# Energy of formation, eV per atom: 0.0519
data_CdIn3Ga3Sn2
_chemical_formula_sum 'Cd1 In3 Ga3 Sn2'
_space_group_name_H-M_alt 'P 1'
_space_group_IT_number 1
_cell_length_a 8.8256
_cell_length_b 8.8256
_cell_length_c 3.2574
_cell_angle_alpha 90.00
_cell_angle_beta 90.00
_cell_angle_gamma 120.00
loop_
_space_group_symop_operation_xyz
'x,y,z'
loop_
_atom_site_label
_atom_site_fract_x
_atom_site_fract_y
_atom_site_fract_z
Cd1 0.0000 0.0000 0.0000
In1 0.0000 0.7020 0.5000
In2 0.2980 0.2980 0.5000
In3 0.7020 0.0000 0.5000
Ga1 0.0000 0.3686 0.0000
Ga2 0.3686 0.0000 0.0000
Ga3 0.6314 0.6314 0.0000
Sn1 0.3333 0.6667 0.5000
Sn2 0.6667 0.3333 0.5000


(3)
# Tb2TlRu PBE-GGA optimized geometry
# Space-group type: No. 225
# Energy above the most stable polymorph in this dataset, eV/atom: 0.0000
# Energy of formation, eV per atom: -0.2445
data_Tb2TlRu
_chemical_formula_sum 'Tb2 Tl1 Ru1'
_space_group_name_H-M_alt 'P 1'
_space_group_IT_number 1
_cell_length_a 5.1035
_cell_length_b 5.1035
_cell_length_c 5.1035
_cell_angle_alpha 60.00
_cell_angle_beta 60.00
_cell_angle_gamma 60.00
loop_
_space_group_symop_operation_xyz
'x,y,z'
loop_
_atom_site_label
_atom_site_fract_x
_atom_site_fract_y
_atom_site_fract_z
Tb1 0.2500 0.2500 0.2500
Tb2 0.7500 0.7500 0.7500
Tl1 0.0000 0.0000 0.0000
Ru1 0.5000 0.5000 0.5000


| no. | volume (Å³/cell) |
| --- | --- |
| 1 | 265 |
| 2 | 220 |
| 3 | 94 |